Entry 1:
A relaxed La2GaCoBi crystal, computed with PBEsol.

Cell lengths 4.935, 5.152, 5.152 Å; angles 90.00, 90.00, 90.00 degrees
Element x y z (fractional)
1 Co 0.000 0.000 0.000
2 Bi 0.500 0.000 0.000
3 Ga 0.500 0.500 0.500
4 La 0.000 0.000 0.500
5 La 0.000 0.500 0.000

Values from the calculation:
The space group is P4/mmm. The value obtained for the density of states at the Fermi level is 0.653 states/eV per atom. The total energy is -5.528 eV/atom.

Entry 2:
A relaxed In2ReW crystal, computed with PBEsol.

Cell lengths 3.157, 4.885, 5.180 Å; angles 106.16, 107.74, 90.00 degrees
Element x y z (fractional)
1 In 0.986 0.975 0.972
2 In 0.765 0.276 0.531
3 Re 0.526 0.510 0.053
4 W 0.223 0.739 0.445

Values from the calculation:
The space group is Cm. The polymorph energy (0 for the lowest one) is 0 meV/atom. The value obtained for the density of states at the Fermi level is 0.580 states/eV per atom. The total energy is -7.730 eV/atom.

Entry 3:
A relaxed RuNCl2 crystal, computed with PBEsol.

Cell lengths 3.644, 6.513, 6.513 Å; angles 85.51, 73.75, 73.75 degrees
Element x y z (fractional)
1 Ru 0.000 0.000 0.000
2 Ru 0.750 0.500 0.500
3 N 0.500 0.000 0.000
4 N 0.250 0.500 0.500
5 Cl 0.777 0.848 0.348
6 Cl 0.973 0.152 0.652
7 Cl 0.375 0.652 0.848
8 Cl 0.875 0.348 0.152

Values from the calculation:
The space group is I-42d. The polymorph energy (0 for the lowest one) is 0 meV/atom. The value obtained for the density of states at the Fermi level is 0.406 states/eV per atom. The total energy is -5.605 eV/atom.